# 1
First-principles (PBE) data for a relaxed structure of Pm2HoH, as listed in Alexandria via LeMat-Bulk.

The space group is R-3m (No. 166, hexagonal axes) and the conventional cell measures 3.6626, 3.6626 and 26.0577 Å, with angles of 90.00, 90.00 and 120.00 degrees. The distinct sites, in fractional coordinates, are Pm at (0.0000, 0.0000, 0.2221), Ho at (0.0000, 0.0000, 0.0000) and H at (0.0000, 0.0000, 0.5000).

=====

# 2
First-principles (PBE) data for a relaxed structure of Pm2HoH8, as listed in Alexandria via LeMat-Bulk.

The space group is Immm (No. 71) and the conventional cell measures 3.752, 5.219 and 11.234 Å, with angles of 90.00, 90.00 and 90.00 degrees. The distinct sites, in fractional coordinates, are Pm at (0.000, 0.000, 0.168), Ho at (0.000, 0.000, 0.500), H at (0.000, 0.246, 0.000), H at (0.000, 0.255, 0.345) and H at (0.000, 0.500, 0.164).

=====

| no. | DFT total energy (eV per atom) |
| --- | --- |
| 1 | -4.514 |
| 2 | -4.320 |